Density functional theory data (GGA-PBE) for LiCoGeSe3 after structural relaxation.

Cell lengths 5.995, 3.682, 10.805 Å; angles 90.00, 101.68, 90.00 degrees
Space group P2_1/m (No. 11)
Unique sites:
Li  0.046  0.250  0.150 [2 per cell]
Co  0.450  0.750  0.854 [2 per cell]
Ge  0.363  0.250  0.555 [2 per cell]
Se  0.161  0.750  0.653 [2 per cell]
Se  0.283  0.250  0.949 [2 per cell]
Se  0.360  0.750  0.233 [2 per cell]

Computed properties:
Its total moment is 0.0 μB per cell. The calculation puts the final energy at -4.486 eV per atom.

Density functional theory data (GGA-PBE) for LiCoSiGe after structural relaxation.

Cell lengths 5.793, 5.793, 5.793 Å; angles 90.00, 90.00, 90.00 degrees
Space group F-43m (No. 216)
Unique sites:
Li  0.000  0.000  0.000 [4 per cell]
Co  0.000  0.000  0.500 [4 per cell]
Si  0.250  0.250  0.250 [4 per cell]
Ge  0.250  0.250  0.750 [4 per cell]

Computed properties:
Its total moment is 0.0 μB per cell. The calculation puts the final energy at -4.958 eV per atom.

Density functional theory data (GGA-PBE) for LiCoSiGe after structural relaxation.

Cell lengths 5.872, 5.872, 5.872 Å; angles 90.00, 90.00, 90.00 degrees
Space group F-43m (No. 216)
Unique sites:
Li  0.000  0.000  0.000 [4 per cell]
Co  0.250  0.250  0.250 [4 per cell]
Si  0.000  0.000  0.500 [4 per cell]
Ge  0.250  0.250  0.750 [4 per cell]

Computed properties:
Its total moment is 0.1 μB per cell. The calculation puts the final energy at -4.650 eV per atom.

Density functional theory data (GGA-PBE) for LiTaCoGe after structural relaxation.

Cell lengths 6.016, 6.016, 6.016 Å; angles 90.00, 90.00, 90.00 degrees
Space group F-43m (No. 216)
Unique sites:
Li  0.000  0.000  0.000 [4 per cell]
Ta  0.250  0.250  0.250 [4 per cell]
Co  0.250  0.250  0.750 [4 per cell]
Ge  0.000  0.000  0.500 [4 per cell]

Computed properties:
Its total moment is 5.5 μB per cell. The calculation puts the final energy at -6.213 eV per atom.

Density functional theory data (GGA-PBE) for LiTaCoGe after structural relaxation.

Cell lengths 5.936, 5.936, 5.936 Å; angles 90.00, 90.00, 90.00 degrees
Space group F-43m (No. 216)
Unique sites:
Li  0.000  0.000  0.000 [4 per cell]
Ta  0.250  0.250  0.750 [4 per cell]
Co  0.000  0.000  0.500 [4 per cell]
Ge  0.250  0.250  0.250 [4 per cell]

Computed properties:
Its total moment is 3.1 μB per cell. The calculation puts the final energy at -6.497 eV per atom.

Density functional theory data (GGA-PBE) for LiCoGeTe3 after structural relaxation.

Cell lengths 6.104, 3.989, 11.466 Å; angles 90.00, 100.51, 90.00 degrees
Space group P2_1/m (No. 11)
Unique sites:
Li  0.043  0.250  0.145 [2 per cell]
Co  0.445  0.750  0.850 [2 per cell]
Ge  0.362  0.250  0.540 [2 per cell]
Te  0.148  0.750  0.644 [2 per cell]
Te  0.281  0.250  0.950 [2 per cell]
Te  0.357  0.750  0.240 [2 per cell]

Computed properties:
Its total moment is 0.0 μB per cell. The calculation puts the final energy at -4.111 eV per atom.